The following is a SCAN calculation of a crystal of Ca5La relaxed with PBEsol, from Alexandria via LeMat-Bulk.

Values from the calculation:
The value obtained for the polymorph energy (0 for the lowest one) is 2 meV/atom. The value obtained for the formation energy is 0.0436 eV per atom.

Cell and atoms, written as extended XYZ:
```
6
Lattice="7.1204 -1.8793 0.0000 7.1204 1.8793 0.0000 -2.4446 0.0000 8.7914" Properties=species:S:1:pos:R:3 pbc="T T T"
Ca 0.0000 0.0000 0.0000
Ca -0.7186 0.0000 5.4586
Ca 4.8414 0.0000 2.5293
Ca 8.6538 0.0000 2.9996
Ca 8.0406 0.0000 8.3073
La 3.1071 0.0000 5.8758
```